Density functional theory data (GGA-PBE) for ZrCuIO2 after structural relaxation.

Lattice parameters (Å, degrees): 4.052 4.052 6.311 90.00 90.00 90.00
Element x y z (fractional)
Zr1 0.000 0.000 0.000
Cu1 0.500 0.500 0.500
I1 0.000 0.000 0.500
O1 0.000 0.500 0.000
O2 0.500 0.000 0.000

Output
- energy relative to the lowest polymorph listed for this composition (meV/atom) = 0
- energy relative to the elements, uncorrected (eV/f.u.) = -6.92

=====

Density functional theory data (GGA-PBE) for TePdSeI2 after structural relaxation.

Lattice parameters (Å, degrees): 5.617 5.617 5.604 90.00 90.00 90.00
Element x y z (fractional)
Te1 0.000 0.000 0.000
Pd1 0.500 0.500 0.000
Se1 0.000 0.000 0.500
I1 0.000 0.500 0.500
I2 0.500 0.000 0.500

Output
- energy relative to the lowest polymorph listed for this composition (meV/atom) = 295
- energy relative to the elements, uncorrected (eV/f.u.) = 3.62